Entry 1:
DFT (PBE) results for crystalline PmEuTmSc at its relaxed geometry.

Summary:
magnetic moment = 6.85 Bohr magnetons per cell
SG = F-43m
E_form = 0.157 eV per atom
total DFT energy (no corrections) = -6.300 eV/atom

```
4
Lattice="0.000 3.980 3.980 3.980 0.000 3.980 3.980 3.980 0.000" Properties=species:S:1:pos:R:3 pbc="T T T"
Pm 0.000 0.000 0.000
Eu 3.980 3.980 3.980
Tm 5.970 5.970 5.970
Sc 1.990 1.990 1.990
```

---

Entry 2:
DFT (PBE) results for crystalline SrPb at its relaxed geometry.

Summary:
magnetic moment = 1.87 Bohr magnetons per cell
SG = I-43m
E_form = 0.086 eV per atom
total DFT energy (no corrections) = -2.609 eV/atom

```
8
Lattice="-5.078 5.078 5.078 5.078 -5.078 5.078 5.078 5.078 -5.078" Properties=species:S:1:pos:R:3 pbc="T T T"
Sr 3.032 3.032 -3.032
Sr 3.032 -3.032 3.032
Sr 2.046 2.046 2.046
Sr -3.032 3.032 3.032
Pb 1.137 1.137 -1.137
Pb 1.137 -1.137 1.137
Pb -1.137 1.137 1.137
Pb 3.941 3.941 3.941
```

---

Entry 3:
DFT (PBE) results for crystalline Y2HoBi at its relaxed geometry.

Summary:
energy above the lowest structure with this stoichiometry = 7.92 kJ per mole of atoms
magnetic moment = 0.01 Bohr magnetons per cell
SG = P4/mmm
E_form = -0.328 eV per atom
total DFT energy (no corrections) = -5.675 eV/atom

```
4
Lattice="4.901 0.000 0.000 0.000 4.901 0.000 0.000 0.000 4.815" Properties=species:S:1:pos:R:3 pbc="T T T"
Y 0.000 2.450 0.000
Y 2.450 0.000 0.000
Ho 0.000 0.000 2.407
Bi 2.450 2.450 2.407
```